Computed, not measured: crystalline Tm2SbO6 at its relaxed geometry at the PBE level of DFT. Values from VASP.

Properties
Formation energy without anion corrections: -2.5151 eV/atom
Volume: 250 Å³ per cell
N(E_F): 10.235 states/eV per cell

Cell and atoms, written as Quantum ESPRESSO input:
```
&SYSTEM
  ibrav = 0, nat = 18, ntyp = 3
/
ATOMIC_SPECIES
Tm 168.93 Tm.upf
Sb 121.76 Sb.upf
O 16.00 O.upf
CELL_PARAMETERS angstrom
4.9848 0.0000 0.0000
0.0000 4.9848 0.0000
0.0000 0.0000 10.0481
ATOMIC_POSITIONS angstrom
Tm 0.0000 0.0000 1.6821
Tm 0.0000 0.0000 8.3661
Tm 2.4924 2.4924 3.3420
Tm 2.4924 2.4924 6.7062
Sb 0.0000 0.0000 5.0241
Sb 2.4924 2.4924 0.0000
O 0.9337 0.9337 3.5124
O 0.9337 0.9337 6.5358
O 1.0650 1.0650 0.0000
O 1.4274 3.5574 5.0241
O 1.5587 3.4262 1.5117
O 1.5587 3.4262 8.5365
O 3.4262 1.5587 1.5117
O 3.4262 1.5587 8.5365
O 3.5574 1.4274 5.0241
O 3.9198 3.9198 0.0000
O 4.0511 4.0511 3.5124
O 4.0511 4.0511 6.5358
```